An optimized crystal structure of CaMnCo, computed with PBE.

abc: 4.2222 4.2222 4.2222
angles: 60.00 60.00 60.00
Last column: nearest neighbours and their distance in Å.
Atoms (fractional coordinates):
Ca1 0.0000 0.0000 0.0000  4 Co 2.59
Mn1 0.5000 0.5000 0.5000  4 Co 2.59
Co1 0.2500 0.2500 0.2500  4 Mn 2.59, 4 Ca 2.59

**Energy relative to the lowest polymorph listed for this composition**: 828 meV/atom
**VASP energy**: -15.21 eV for the cell shown
**Space group**: F-43m, No. 216
**E_form**: 1024 meV/atom


An optimized crystal structure of YMn2Os, computed with PBE.

abc: 3.1071 3.1071 7.0344
angles: 90.00 90.00 90.00
Last column: nearest neighbours and their distance in Å.
Atoms (fractional coordinates):
Y1 0.0000 0.0000 0.0000  8 Mn 3.07, 4 Y 3.11
Mn1 0.5000 0.5000 0.3039  4 Os 2.59, 1 Mn 2.76
Mn2 0.5000 0.5000 0.6961  4 Os 2.59, 1 Mn 2.76
Os1 0.0000 0.0000 0.5000  8 Mn 2.59

**Energy relative to the lowest polymorph listed for this composition**: 118 meV/atom
**VASP energy**: -34.96 eV for the cell shown
**Space group**: P4/mmm, No. 123
**E_form**: 269 meV/atom


An optimized crystal structure of ThTa2Al6, computed with PBE.

abc: 7.4796 7.4796 7.4796
angles: 148.38 124.91 64.92
Last column: nearest neighbours and their distance in Å.
Atoms (fractional coordinates):
Th1 0.0000 0.0000 0.0000  4 Al 3.01
Ta1 0.3855 0.8855 0.5000  10 Al 2.79-3.04, 1 Ta 2.89
Ta2 0.6145 0.1145 0.5000  10 Al 2.79-3.04, 1 Ta 2.89
Al1 0.0154 0.3115 0.7039  3 Al 2.51-2.64
Al2 0.3209 0.5000 0.8209  3 Al 2.48-2.51
Al3 0.3924 0.6885 0.7039  3 Al 2.51-2.64
Al4 0.6076 0.3115 0.2961  3 Al 2.51-2.64
Al5 0.6791 0.5000 0.1791  3 Al 2.48-2.51
Al6 0.9846 0.6885 0.2961  3 Al 2.51-2.64

**VASP energy**: -54.46 eV for the cell shown
**Space group**: Immm, No. 71
**E_form**: -97 meV/atom


An optimized crystal structure of Rb2CdBi2, computed with PBE.

abc: 6.9171 6.9171 6.9171
angles: 114.25 114.25 100.29
Last column: nearest neighbours and their distance in Å.
Atoms (fractional coordinates):
Rb1 0.2500 0.7500 0.5000  4 Bi 3.82
Rb2 0.7500 0.2500 0.5000  4 Bi 3.82
Cd1 0.0000 0.0000 0.0000  2 Bi 2.90
Bi1 0.3275 0.3275 0.0000  1 Cd 2.90, 1 Bi 3.06
Bi2 0.6725 0.6725 0.0000  1 Cd 2.90, 1 Bi 3.06

**Energy relative to the lowest polymorph listed for this composition**: 213 meV/atom
**VASP energy**: -10.84 eV for the cell shown
**Space group**: I4/mmm, No. 139
**E_form**: -46 meV/atom


An optimized crystal structure of RbNa2Ni2, computed with PBE.

abc: 8.7127 8.7127 3.1520
angles: 90.00 90.00 90.00
Last column: nearest neighbours and their distance in Å.
Atoms (fractional coordinates):
Rb1 0.0000 0.0000 0.0000  2 Rb 3.15
Rb2 0.5000 0.5000 0.0000  2 Rb 3.15
Na1 0.1778 0.3222 0.5000  6 Ni 2.94-3.22, 2 Na 3.15
Na2 0.3222 0.8222 0.5000  6 Ni 2.94-3.22, 2 Na 3.15
Na3 0.6778 0.1778 0.5000  6 Ni 2.94-3.22, 2 Na 3.15
Na4 0.8222 0.6778 0.5000  6 Ni 2.94-3.22, 2 Na 3.15
Ni1 0.0943 0.5943 0.0000  1 Ni 2.32
Ni2 0.4057 0.0943 0.0000  1 Ni 2.32
Ni3 0.5943 0.9057 0.0000  1 Ni 2.32
Ni4 0.9057 0.4057 0.0000  1 Ni 2.32

**Energy relative to the lowest polymorph listed for this composition**: 8 meV/atom
**VASP energy**: -24.03 eV for the cell shown
**Space group**: P4/mbm, No. 127
**E_form**: 631 meV/atom


An optimized crystal structure of Nd8Al2Pd, computed with PBE.

abc: 9.4718 9.4718 9.4718
angles: 146.70 135.78 56.46
Last column: nearest neighbours and their distance in Å.
Atoms (fractional coordinates):
Nd1 0.1287 0.3656 0.7631  1 Pd 2.92
Nd2 0.1965 0.1965 0.0000  6 Nd 3.29-3.46, 4 Al 3.36-3.57
Nd3 0.2572 0.0000 0.2572  2 Pd 3.28, 6 Nd 3.46-3.67, 2 Al 3.54
Nd4 0.3976 0.6344 0.7631  1 Pd 2.92
Nd5 0.6024 0.3656 0.2369  1 Pd 2.92
Nd6 0.7428 0.0000 0.7428  2 Pd 3.28, 6 Nd 3.46-3.67, 2 Al 3.54
Nd7 0.8035 0.8035 0.0000  6 Nd 3.29-3.46, 4 Al 3.36-3.57
Nd8 0.8713 0.6344 0.2369  1 Pd 2.92
Al1 0.3153 0.8153 0.5000  12 Nd 3.30-3.57
Al2 0.6847 0.1847 0.5000  12 Nd 3.30-3.57
Pd1 0.0000 0.5000 0.5000  8 Nd 2.92-3.28

**Energy relative to the lowest polymorph listed for this composition**: 38 meV/atom
**VASP energy**: -53.13 eV for the cell shown
**Space group**: Immm, No. 71
**E_form**: -210 meV/atom